ZnGeTe | GGA-PBE | optimized geometry

Cell and atoms, written as CIF:
```
data_ZnGeTe
_chemical_formula_sum 'Zn2 Ge2 Te2'
_space_group_name_H-M_alt 'C 1 m 1'
_space_group_IT_number 8
_cell_length_a 4.319
_cell_length_b 4.319
_cell_length_c 8.326
_cell_angle_alpha 90.00
_cell_angle_beta 103.29
_cell_angle_gamma 90.00
loop_
_space_group_symop_operation_xyz
'x,y,z'
'x,-y,z'
'x+1/2,y+1/2,z'
'x+1/2,-y+1/2,z'
loop_
_atom_site_label
_atom_site_fract_x
_atom_site_fract_y
_atom_site_fract_z
Zn1 0.000 0.000 0.000
Ge1 0.097 0.500 0.215
Te1 0.352 0.500 0.668
```

As for the excess energy over the best structure of this formula in the dataset: 9.9 kJ/mol of atoms.

NaSr4Tl3 | GGA-PBE | optimized geometry

Cell and atoms, written as CIF:
```
data_NaSr4Tl3
_chemical_formula_sum 'Na2 Sr8 Tl6'
_space_group_name_H-M_alt 'P m m a'
_space_group_IT_number 51
_cell_length_a 11.702
_cell_length_b 8.350
_cell_length_c 5.847
_cell_angle_alpha 90.00
_cell_angle_beta 90.00
_cell_angle_gamma 90.00
loop_
_space_group_symop_operation_xyz
'x,y,z'
'-x,-y,-z'
'-x+1/2,-y,z'
'x+1/2,y,-z'
'x+1/2,-y,-z'
'-x+1/2,y,z'
'-x,y,-z'
'x,-y,z'
loop_
_atom_site_label
_atom_site_fract_x
_atom_site_fract_y
_atom_site_fract_z
Na1 0.000 0.000 0.000
Sr1 0.000 0.259 0.500
Sr2 0.250 0.259 0.000
Tl1 0.000 0.500 0.000
Tl2 0.250 0.000 0.498
Tl3 0.250 0.500 0.500
```

For the energy relative to the elements, the calculation gives -0.3267 eV per atom.

YTlCu2 | GGA-PBE | optimized geometry

Cell and atoms, written as CIF:
```
data_YTlCu2
_chemical_formula_sum 'Y1 Tl1 Cu2'
_space_group_name_H-M_alt 'P m m 2'
_space_group_IT_number 25
_cell_length_a 3.225
_cell_length_b 3.416
_cell_length_c 7.148
_cell_angle_alpha 90.00
_cell_angle_beta 90.00
_cell_angle_gamma 90.00
loop_
_space_group_symop_operation_xyz
'x,y,z'
'-x,-y,z'
'-x,y,z'
'x,-y,z'
loop_
_atom_site_label
_atom_site_fract_x
_atom_site_fract_y
_atom_site_fract_z
Y1 0.000 0.000 0.000
Tl1 0.500 0.500 0.341
Cu1 0.000 0.000 0.586
Cu2 0.500 0.500 0.744
```

For the energy relative to the elements, the calculation gives -0.0035 eV per atom.

RbScSi | GGA-PBE | optimized geometry

Cell and atoms, written as CIF:
```
data_RbScSi
_chemical_formula_sum 'Rb2 Sc2 Si2'
_space_group_name_H-M_alt 'P 63/m m c'
_space_group_IT_number 194
_space_group_name_Hall '-P 6c 2c'
_cell_length_a 4.6279
_cell_length_b 4.6279
_cell_length_c 11.5658
_cell_angle_alpha 90.00
_cell_angle_beta 90.00
_cell_angle_gamma 120.00
loop_
_atom_site_label
_atom_site_fract_x
_atom_site_fract_y
_atom_site_fract_z
Rb1 0.0000 0.0000 0.0000
Sc1 0.3333 0.6667 0.2500
Si1 0.3333 0.6667 0.7500
```

As for the excess energy over the best structure of this formula in the dataset: 39.4 kJ/mol of atoms.

Na2BeCl | GGA-PBE | optimized geometry

Cell and atoms, written as CIF:
```
data_Na2BeCl
_chemical_formula_sum 'Na8 Be4 Cl4'
_space_group_name_H-M_alt 'I -4 2 d'
_space_group_IT_number 122
_space_group_name_Hall 'I -4 2bw'
_cell_length_a 7.597
_cell_length_b 7.597
_cell_length_c 7.427
_cell_angle_alpha 90.00
_cell_angle_beta 90.00
_cell_angle_gamma 90.00
loop_
_atom_site_label
_atom_site_fract_x
_atom_site_fract_y
_atom_site_fract_z
Na1 0.216 0.250 0.125
Be1 0.000 0.000 0.500
Cl1 0.000 0.000 0.000
```

As for the excess energy over the best structure of this formula in the dataset: 0.0 kJ/mol of atoms.

GdZrOsRu | GGA-PBE | optimized geometry

Cell and atoms, written as CIF:
```
data_GdZrOsRu
_chemical_formula_sum 'Gd4 Zr4 Os4 Ru4'
_space_group_name_H-M_alt 'F -4 3 m'
_space_group_IT_number 216
_space_group_name_Hall 'F -4 2 3'
_cell_length_a 6.705
_cell_length_b 6.705
_cell_length_c 6.705
_cell_angle_alpha 90.00
_cell_angle_beta 90.00
_cell_angle_gamma 90.00
loop_
_atom_site_label
_atom_site_fract_x
_atom_site_fract_y
_atom_site_fract_z
Gd1 0.000 0.000 0.000
Zr1 0.000 0.000 0.500
Os1 0.250 0.250 0.250
Ru1 0.250 0.250 0.750
```

For the energy relative to the elements, the calculation gives -0.3254 eV per atom.

La14PmPb | GGA-PBE | optimized geometry

Cell and atoms, written as CIF:
```
data_La14PmPb
_chemical_formula_sum 'La28 Pm2 Pb2'
_space_group_name_H-M_alt 'A m m 2'
_space_group_IT_number 38
_cell_length_a 10.436
_cell_length_b 10.392
_cell_length_c 10.399
_cell_angle_alpha 90.00
_cell_angle_beta 90.00
_cell_angle_gamma 90.00
loop_
_space_group_symop_operation_xyz
'x,y,z'
'-x,-y,z'
'-x,y,z'
'x,-y,z'
'x,y+1/2,z+1/2'
'-x,-y+1/2,z+1/2'
'-x,y+1/2,z+1/2'
'x,-y+1/2,z+1/2'
loop_
_atom_site_label
_atom_site_fract_x
_atom_site_fract_y
_atom_site_fract_z
La1 0.000 0.000 0.000
La2 0.000 0.000 0.499
La3 0.000 0.250 0.250
La4 0.255 0.000 0.756
La5 0.255 0.244 0.000
La6 0.256 0.000 0.243
La7 0.500 0.250 0.250
Pm1 0.500 0.000 0.500
Pb1 0.500 0.000 0.000
```

For the energy relative to the elements, the calculation gives -0.0774 eV per atom.

Nd3Dy2Er8 | GGA-PBE | optimized geometry

Cell and atoms, written as CIF:
```
data_Nd3Dy2Er8
_chemical_formula_sum 'Nd3 Dy2 Er8'
_space_group_name_H-M_alt 'P -1'
_space_group_IT_number 2
_cell_length_a 6.150
_cell_length_b 6.155
_cell_length_c 11.223
_cell_angle_alpha 89.92
_cell_angle_beta 79.44
_cell_angle_gamma 80.39
loop_
_space_group_symop_operation_xyz
'x,y,z'
'-x,-y,-z'
loop_
_atom_site_label
_atom_site_fract_x
_atom_site_fract_y
_atom_site_fract_z
Nd1 0.000 0.000 0.000
Nd2 0.231 0.462 0.079
Dy1 0.385 0.769 0.462
Er1 0.077 0.152 0.689
Er2 0.154 0.308 0.387
Er3 0.308 0.612 0.765
Er4 0.463 0.925 0.158
```

As for the excess energy over the best structure of this formula in the dataset: 0.0 kJ/mol of atoms. For the energy relative to the elements, the calculation gives 0.0235 eV per atom.

CeTm2S3 | GGA-PBE | optimized geometry

Cell and atoms, written as CIF:
```
data_CeTm2S3
_chemical_formula_sum 'Ce2 Tm4 S6'
_space_group_name_H-M_alt 'I m m m'
_space_group_IT_number 71
_space_group_name_Hall '-I 2 2'
_cell_length_a 3.871
_cell_length_b 5.538
_cell_length_c 11.776
_cell_angle_alpha 90.00
_cell_angle_beta 90.00
_cell_angle_gamma 90.00
loop_
_atom_site_label
_atom_site_fract_x
_atom_site_fract_y
_atom_site_fract_z
Ce1 0.000 0.000 0.000
Tm1 0.000 0.000 0.336
S1 0.000 0.500 0.000
S2 0.000 0.500 0.324
```

As for the raw total energy: -6.51 eV per atom.

BaAc5Pt4 | GGA-PBE | optimized geometry

Cell and atoms, written as CIF:
```
data_BaAc5Pt4
_chemical_formula_sum 'Ba2 Ac10 Pt8'
_space_group_name_H-M_alt 'C 1 2/m 1'
_space_group_IT_number 12
_cell_length_a 19.175
_cell_length_b 4.450
_cell_length_c 8.935
_cell_angle_alpha 90.00
_cell_angle_beta 104.92
_cell_angle_gamma 90.00
loop_
_space_group_symop_operation_xyz
'x,y,z'
'-x,-y,-z'
'-x,y,-z'
'x,-y,z'
'x+1/2,y+1/2,z'
'-x+1/2,-y+1/2,-z'
'-x+1/2,y+1/2,-z'
'x+1/2,-y+1/2,z'
loop_
_atom_site_label
_atom_site_fract_x
_atom_site_fract_y
_atom_site_fract_z
Ba1 0.000 0.000 0.000
Ac1 0.000 0.000 0.500
Ac2 0.164 0.500 0.328
Ac3 0.166 0.500 0.862
Pt1 0.001 0.500 0.272
Pt2 0.176 0.000 0.106
```

For the energy relative to the elements, the calculation gives -0.8885 eV per atom.

RbSiB | GGA-PBE | optimized geometry

Cell and atoms, written as CIF:
```
data_RbSiB
_chemical_formula_sum 'Rb2 Si2 B2'
_space_group_name_H-M_alt 'P -1'
_space_group_IT_number 2
_cell_length_a 5.297
_cell_length_b 6.110
_cell_length_c 6.142
_cell_angle_alpha 109.49
_cell_angle_beta 96.82
_cell_angle_gamma 104.42
loop_
_space_group_symop_operation_xyz
'x,y,z'
'-x,-y,-z'
loop_
_atom_site_label
_atom_site_fract_x
_atom_site_fract_y
_atom_site_fract_z
Rb1 0.239 0.367 0.193
Si1 0.309 0.968 0.582
B1 0.055 0.150 0.601
```

As for the raw total energy: -3.97 eV per atom.

CeNdYSe3 | GGA-PBE | optimized geometry

Cell and atoms, written as CIF:
```
data_CeNdYSe3
_chemical_formula_sum 'Ce2 Nd2 Y2 Se6'
_space_group_name_H-M_alt 'P 1 21/m 1'
_space_group_IT_number 11
_cell_length_a 8.081
_cell_length_b 4.098
_cell_length_c 10.431
_cell_angle_alpha 90.00
_cell_angle_beta 102.89
_cell_angle_gamma 90.00
loop_
_space_group_symop_operation_xyz
'x,y,z'
'-x,-y,-z'
'-x,y+1/2,-z'
'x,-y+1/2,z'
loop_
_atom_site_label
_atom_site_fract_x
_atom_site_fract_y
_atom_site_fract_z
Ce1 0.176 0.250 0.117
Nd1 0.183 0.250 0.704
Y1 0.336 0.750 0.403
Se1 0.092 0.250 0.392
Se2 0.209 0.750 0.924
Se3 0.466 0.750 0.686
```

As for the raw total energy: -6.20 eV per atom.

no.,D(E_F) (states/eV/f.u.)
1,1.23
2,8.19
3,2.80
4,0.81
5,2.45
6,2.46
7,22.67
8,19.12
9,6.26
10,5.65
11,0.05
12,7.60